Here is a geometry-optimized AcTlCdBi structure from Alexandria. Energies are from PBE.

POSCAR file:
```
AcTlCdBi
1.0
5.703 0.000 0.000
2.852 4.939 0.000
2.852 1.646 4.657
Cd Tl Ac Bi
1 1 1 1
Direct
0.750 0.750 0.750
0.500 0.500 0.500
0.000 0.000 0.000
0.250 0.250 0.250
```

Space group: F-43m
V (Å³/cell): 131.18
Calculated formation energy (eV per atom): -0.3052
M_tot (Bohr magnetons per cell): 0.000



Here is a geometry-optimized Ca3TbTl2 structure from Alexandria. Energies are from PBE.

POSCAR file:
```
Ca3TbTl2
1.0
5.311 0.000 0.000
0.000 7.170 0.000
0.000 0.000 9.826
Tl Tb Ca
4 2 6
Direct
0.000 0.782 0.366
0.500 0.217 0.148
0.500 0.717 0.852
0.000 0.282 0.634
0.500 0.529 0.550
0.500 0.029 0.450
0.000 0.469 0.946
0.500 0.173 0.819
0.500 0.673 0.181
0.000 0.830 0.685
0.000 0.969 0.054
0.000 0.330 0.315
```

Space group: Pmc2_1
V (Å³/cell): 374.18
Calculated formation energy (eV per atom): -0.3241
M_tot (Bohr magnetons per cell): 0.000